Material: Ba2C
Method: DFT, GGA-PBEsol
State: relaxed

a b c (Å): 7.4865 7.4865 8.1035
angles (deg): 112.72 112.72 28.75
Atoms (fractional coordinates):
Ba1 0.0111 0.0111 0.2050
Ba2 0.2628 0.2628 0.2164
Ba3 0.7372 0.7372 0.7836
Ba4 0.9889 0.9889 0.7950
C1 0.3741 0.3741 0.9707
C2 0.6259 0.6259 0.0293

Computed properties:
Polymorph energy (0 for the lowest one) (meV per atom): 0
Formation energy from the elements (eV per atom): 0.67
E_tot (eV per atom): -3.981
Space-group type: C2/m, No. 12